No. 1
Sm8CSe3S4 | GGA-PBE | relaxed

Geometry as POSCAR:
```
Sm8CSe3S4
1.0
-7.424 -1.681 -2.886
2.983 -6.357 -3.971
1.175 0.755 8.020
Sm C Se S
8 1 3 4
Direct
0.229 0.739 0.010 Sm
0.229 0.739 0.459 Sm
0.243 0.230 0.487 Sm
0.780 0.739 0.010 Sm
0.220 0.261 0.990 Sm
0.757 0.770 0.513 Sm
0.771 0.261 0.541 Sm
0.771 0.261 0.990 Sm
0.000 0.500 0.000 C
0.500 0.500 0.000 Se
0.500 0.500 0.500 Se
0.000 0.500 0.500 Se
0.500 0.000 0.000 S
0.500 0.000 0.500 S
0.000 0.000 0.000 S
0.000 0.000 0.500 S
```

## Properties
E = -101.85 eV per cell


No. 2
Tb2NdTc | GGA-PBE | relaxed

Geometry as POSCAR:
```
Tb2NdTc
1.0
-0.241 -3.261 -1.110
2.746 -1.554 -1.403
3.890 -5.237 9.167
Nd Tb Tc
1 2 1
Direct
0.000 0.000 0.000 Nd
0.106 0.106 0.682 Tb
0.894 0.894 0.318 Tb
0.500 0.500 0.500 Tc
```

## Properties
E = -23.32 eV per cell
E above lowest polymorph = 316 meV/atom
ΔE_f = 0.268 eV/atom


No. 3
Tb6Ga3Pb | GGA-PBE | relaxed

Geometry as POSCAR:
```
Tb6Ga3Pb
1.0
7.307 0.000 0.000
0.000 8.526 0.902
0.000 -1.023 8.512
Tb Ga Pb
12 6 2
Direct
0.150 0.663 0.634 Tb
0.650 0.634 0.663 Tb
0.388 0.496 0.988 Tb
0.888 0.988 0.496 Tb
0.158 0.121 0.879 Tb
0.637 0.154 0.846 Tb
0.137 0.846 0.154 Tb
0.658 0.879 0.121 Tb
0.388 0.012 0.504 Tb
0.888 0.504 0.012 Tb
0.150 0.366 0.337 Tb
0.650 0.337 0.366 Tb
0.402 0.839 0.838 Ga
0.902 0.838 0.839 Ga
0.372 0.339 0.661 Ga
0.872 0.661 0.339 Ga
0.902 0.161 0.162 Ga
0.402 0.162 0.161 Ga
0.939 0.337 0.663 Pb
0.439 0.663 0.337 Pb
```

## Properties
E = -90.53 eV per cell
ΔE_f = -0.470 eV/atom


No. 4
Pm3Nd4Ga4 | GGA-PBE | relaxed

Geometry as POSCAR:
```
Pm3Nd4Ga4
1.0
-0.757 -0.958 3.450
-2.379 -8.403 -2.855
10.312 1.823 0.829
Pm Nd Ga
3 4 4
Direct
0.094 0.094 0.188 Pm
0.906 0.906 0.812 Pm
0.000 0.500 0.000 Pm
0.333 0.154 0.665 Nd
0.667 0.488 0.335 Nd
0.667 0.846 0.335 Nd
0.333 0.512 0.665 Nd
0.275 0.775 0.550 Ga
0.725 0.225 0.450 Ga
0.500 0.776 0.000 Ga
0.500 0.224 0.000 Ga
```

## Properties
E = -49.85 eV per cell
ΔE_f = -0.402 eV/atom


No. 5
TbSm3Pb3 | GGA-PBE | relaxed

Geometry as POSCAR:
```
TbSm3Pb3
1.0
9.343 0.000 0.000
4.672 8.091 0.000
4.672 2.697 6.273
Tb Sm Pb
2 6 6
Direct
0.332 0.332 0.005 Tb
0.668 0.668 0.995 Tb
0.344 0.828 0.734 Sm
0.828 0.094 0.734 Sm
0.094 0.344 0.734 Sm
0.906 0.656 0.266 Sm
0.172 0.906 0.266 Sm
0.656 0.172 0.266 Sm
0.311 0.533 0.233 Pb
0.923 0.311 0.233 Pb
0.533 0.923 0.233 Pb
0.467 0.077 0.767 Pb
0.077 0.689 0.767 Pb
0.689 0.467 0.767 Pb
```

## Properties
E = -65.26 eV per cell
ΔE_f = -0.388 eV/atom


No. 6
Er6PbAu2Se3 | GGA-PBE | relaxed

Geometry as POSCAR:
```
Er6PbAu2Se3
1.0
3.988 0.000 0.000
0.000 8.639 -0.094
-1.994 -2.914 8.853
Er Pb Au Se
6 1 2 3
Direct
0.326 0.897 0.651 Er
0.664 0.593 0.328 Er
0.674 0.103 0.349 Er
0.005 0.269 0.009 Er
0.995 0.731 0.991 Er
0.336 0.407 0.672 Er
0.500 0.000 0.000 Pb
0.826 0.646 0.651 Au
0.174 0.354 0.349 Au
0.500 0.500 0.000 Se
0.838 0.157 0.677 Se
0.162 0.843 0.323 Se
```

## Properties
E = -62.31 eV per cell


No. 7
K2OsAu | GGA-PBE | relaxed

Geometry as POSCAR:
```
K2OsAu
1.0
-2.155 5.694 -0.556
-5.861 1.229 -1.228
3.421 -3.404 3.753
Au K Os
1 2 1
Direct
0.750 0.250 0.500 Au
0.000 0.000 0.000 K
0.500 0.500 0.000 K
0.250 0.750 0.500 Os
```

## Properties
E = -12.48 eV per cell
E above lowest polymorph = 363 meV/atom
ΔE_f = 1.055 eV/atom


No. 8
Pu3MnTc2 | GGA-PBE | relaxed

Geometry as POSCAR:
```
Pu3MnTc2
1.0
3.368 0.000 0.000
0.000 3.368 0.000
0.000 0.000 10.031
Pu Mn Tc
3 1 2
Direct
0.000 0.000 0.000 Pu
0.000 0.000 0.660 Pu
0.000 0.000 0.340 Pu
0.500 0.500 0.500 Mn
0.500 0.500 0.828 Tc
0.500 0.500 0.172 Tc
```

## Properties
E = -71.91 eV per cell
ΔE_f = 0.165 eV/atom


Number 1: M_tot 0.00 μB per formula unit. Number 2: M_tot 0.00 μB per formula unit. Number 3: M_tot 0.00 μB per formula unit. Number 4: M_tot 0.00 μB per formula unit. Number 5: M_tot 0.00 μB per formula unit. Number 6: M_tot 0.00 μB per formula unit. Number 7: M_tot 1.41 μB per formula unit. Number 8: M_tot 2.70 μB per formula unit.